(1)
Compound: SrNbAl2Ni
Source: the Alexandria database
Functional: PBE
Structure: optimized geometry

Cell lengths 4.637, 4.637, 4.946 Å; angles 90.00, 90.00, 90.00 degrees
Element x y z (fractional)
Sr 0.000 0.000 0.000
Nb 0.500 0.500 0.000
Al 0.000 0.500 0.500
Al 0.500 0.000 0.500
Ni 0.500 0.500 0.500

Calculated values
**DFT total energy**: -4.813 eV/atom
**M_tot**: 1.23 μB per formula unit
**Calculated formation energy**: 0.191 eV per atom
**SG**: P4/mmm (123)
**Calculated volume**: 21.3 Å³/atom
**Crystal system**: tetragonal


(2)
Compound: NbAlNi2Te
Source: the Alexandria database
Functional: PBE
Structure: optimized geometry

Cell lengths 4.307, 4.307, 4.918 Å; angles 90.00, 90.00, 90.00 degrees
Element x y z (fractional)
Nb 0.000 0.000 0.000
Al 0.000 0.000 0.500
Ni 0.000 0.500 0.500
Ni 0.500 0.000 0.500
Te 0.500 0.500 0.000

Calculated values
**DFT total energy**: -5.079 eV/atom
**M_tot**: 0.00 μB per formula unit
**SG**: P4/mmm (123)
**Raw formation energy**: 624.0 meV/atom
**Calculated volume**: 18.3 Å³/atom
**Crystal system**: tetragonal


(3)
Compound: Tm2NbAl2Ni5
Source: the Alexandria database
Functional: PBE
Structure: optimized geometry

Cell lengths 9.634, 9.634, 3.357 Å; angles 90.00, 90.00, 90.00 degrees
Element x y z (fractional)
Tm 0.175 0.325 0.000
Tm 0.325 0.825 0.000
Tm 0.675 0.175 0.000
Tm 0.825 0.675 0.000
Nb 0.000 0.000 0.000
Nb 0.500 0.500 0.000
Al 0.122 0.622 0.000
Al 0.378 0.122 0.000
Al 0.622 0.878 0.000
Al 0.878 0.378 0.000
Ni 0.000 0.500 0.500
Ni 0.052 0.801 0.500
Ni 0.199 0.052 0.500
Ni 0.301 0.552 0.500
Ni 0.448 0.301 0.500
Ni 0.500 0.000 0.500
Ni 0.552 0.699 0.500
Ni 0.699 0.448 0.500
Ni 0.801 0.948 0.500
Ni 0.948 0.199 0.500

Calculated values
**DFT total energy**: -5.930 eV/atom
**M_tot**: 0.00 μB per formula unit
**Calculated formation energy**: -0.389 eV per atom
**SG**: P4/mbm (127)
**Calculated volume**: 15.6 Å³/atom
**Crystal system**: tetragonal


(4)
Compound: NbAlZnNi2
Source: the Alexandria database
Functional: PBE
Structure: optimized geometry

Cell lengths 4.276, 4.276, 4.387 Å; angles 90.00, 90.00, 90.00 degrees
Element x y z (fractional)
Nb 0.000 0.000 0.000
Al 0.500 0.500 0.000
Zn 0.500 0.500 0.500
Ni 0.000 0.500 0.500
Ni 0.500 0.000 0.500

Calculated values
**DFT total energy**: -4.633 eV/atom
**M_tot**: 0.00 μB per formula unit
**Calculated formation energy**: 0.697 eV per atom
**SG**: P4/mmm (123)
**Calculated volume**: 16.0 Å³/atom
**Crystal system**: tetragonal


(5)
Compound: NpNbAl
Source: the Alexandria database
Functional: PBE
Structure: optimized geometry

Cell lengths 8.523, 8.523, 8.523 Å; angles 27.35, 27.35, 27.35 degrees
Element x y z (fractional)
Np 0.187 0.187 0.187
Np 0.813 0.813 0.813
Nb 0.064 0.064 0.064
Nb 0.936 0.936 0.936
Al 0.341 0.341 0.341
Al 0.659 0.659 0.659

Calculated values
**DFT total energy**: -8.547 eV/atom
**M_tot**: 0.96 μB per formula unit
**Calculated formation energy**: 0.371 eV per atom
**SG**: R-3m (166)
**Calculated volume**: 19.2 Å³/atom
**Crystal system**: trigonal


(6)
Compound: NpNbAlO6
Source: the Alexandria database
Functional: PBE
Structure: optimized geometry

Cell lengths 5.125, 5.125, 9.682 Å; angles 90.00, 90.00, 120.00 degrees
Element x y z (fractional)
Np 0.000 0.000 0.000
Np 0.000 0.000 0.500
Nb 0.333 0.667 0.250
Nb 0.667 0.333 0.750
Al 0.333 0.667 0.750
Al 0.667 0.333 0.250
O 0.013 0.362 0.639
O 0.013 0.651 0.861
O 0.349 0.362 0.861
O 0.349 0.987 0.639
O 0.362 0.013 0.139
O 0.362 0.349 0.361
O 0.638 0.651 0.639
O 0.638 0.987 0.861
O 0.651 0.013 0.361
O 0.651 0.638 0.139
O 0.987 0.349 0.139
O 0.987 0.638 0.361

Calculated values
**DFT total energy**: -9.056 eV/atom
**M_tot**: 3.00 μB per formula unit
**SG**: P-31c (163)
**Raw formation energy**: -2778.2 meV/atom
**Calculated volume**: 12.2 Å³/atom
**Crystal system**: trigonal


(7)
Compound: NpNbAlOs
Source: the Alexandria database
Functional: PBE
Structure: optimized geometry

Cell lengths 4.653, 4.653, 4.653 Å; angles 60.00, 60.00, 60.00 degrees
Element x y z (fractional)
Np 0.000 0.000 0.000
Nb 0.250 0.250 0.250
Al 0.750 0.750 0.750
Os 0.500 0.500 0.500

Calculated values
**DFT total energy**: -9.245 eV/atom
**M_tot**: 3.88 μB per formula unit
**Calculated formation energy**: 0.251 eV per atom
**SG**: F-43m (216)
**Calculated volume**: 17.8 Å³/atom
**Crystal system**: cubic


(8)
Compound: NpScNbAl
Source: the Alexandria database
Functional: PBE
Structure: optimized geometry

Cell lengths 4.817, 4.817, 4.817 Å; angles 60.00, 60.00, 60.00 degrees
Element x y z (fractional)
Np 0.000 0.000 0.000
Sc 0.250 0.250 0.250
Nb 0.750 0.750 0.750
Al 0.500 0.500 0.500

Calculated values
**DFT total energy**: -8.115 eV/atom
**M_tot**: 4.20 μB per formula unit
**Calculated formation energy**: 0.156 eV per atom
**SG**: F-43m (216)
**Calculated volume**: 19.8 Å³/atom
**Crystal system**: cubic


(9)
Compound: NpTiNbAl
Source: the Alexandria database
Functional: PBE
Structure: optimized geometry

Cell lengths 4.711, 4.711, 4.711 Å; angles 60.00, 60.00, 60.00 degrees
Element x y z (fractional)
Np 0.000 0.000 0.000
Ti 0.750 0.750 0.750
Nb 0.250 0.250 0.250
Al 0.500 0.500 0.500

Calculated values
**DFT total energy**: -8.554 eV/atom
**M_tot**: 4.55 μB per formula unit
**Calculated formation energy**: 0.108 eV per atom
**SG**: F-43m (216)
**Calculated volume**: 18.5 Å³/atom
**Crystal system**: cubic


(10)
Compound: NbAl2O6
Source: the Alexandria database
Functional: PBE
Structure: optimized geometry

Cell lengths 4.574, 4.574, 8.824 Å; angles 90.00, 90.00, 90.00 degrees
Element x y z (fractional)
Nb 0.000 0.000 0.000
Nb 0.500 0.500 0.500
Al 0.000 0.000 0.335
Al 0.000 0.000 0.665
Al 0.500 0.500 0.165
Al 0.500 0.500 0.835
O 0.189 0.189 0.500
O 0.202 0.202 0.173
O 0.202 0.202 0.827
O 0.298 0.702 0.327
O 0.298 0.702 0.673
O 0.311 0.689 0.000
O 0.689 0.311 0.000
O 0.702 0.298 0.327
O 0.702 0.298 0.673
O 0.798 0.798 0.173
O 0.798 0.798 0.827
O 0.811 0.811 0.500

Calculated values
**DFT total energy**: -7.783 eV/atom
**M_tot**: 0.00 μB per formula unit
**SG**: P4_2/mnm (136)
**Raw formation energy**: -2527.0 meV/atom
**Calculated volume**: 10.3 Å³/atom
**Crystal system**: tetragonal


(11)
Compound: NbAl3O
Source: the Alexandria database
Functional: PBE
Structure: optimized geometry

Cell lengths 4.101, 4.101, 4.101 Å; angles 90.00, 90.00, 90.00 degrees
Element x y z (fractional)
Nb 0.000 0.000 0.000
Al 0.000 0.500 0.500
Al 0.500 0.000 0.500
Al 0.500 0.500 0.000
O 0.500 0.500 0.500

Calculated values
**DFT total energy**: -5.945 eV/atom
**M_tot**: 0.00 μB per formula unit
**SG**: Pm-3m (221)
**Raw formation energy**: -694.2 meV/atom
**Calculated volume**: 13.8 Å³/atom
**Crystal system**: cubic


(12)
Compound: NbAl2O2
Source: the Alexandria database
Functional: PBE
Structure: optimized geometry

Cell lengths 7.226, 7.226, 2.605 Å; angles 90.00, 90.00, 90.00 degrees
Element x y z (fractional)
Nb 0.000 0.000 0.000
Nb 0.500 0.500 0.000
Al 0.117 0.383 0.000
Al 0.383 0.883 0.000
Al 0.617 0.117 0.000
Al 0.883 0.617 0.000
O 0.111 0.611 0.500
O 0.389 0.111 0.500
O 0.611 0.889 0.500
O 0.889 0.389 0.500

Calculated values
**DFT total energy**: -5.807 eV/atom
**M_tot**: 0.00 μB per formula unit
**SG**: P4/mbm (127)
**Raw formation energy**: -312.7 meV/atom
**Calculated volume**: 13.6 Å³/atom
**Offset from the most stable computed form**: 0.9486 eV/atom
**Crystal system**: tetragonal


(13)
Compound: NbAlO4
Source: the Alexandria database
Functional: PBE
Structure: optimized geometry

Cell lengths 6.439, 6.439, 6.570 Å; angles 107.03, 107.03, 34.42 degrees
Element x y z (fractional)
Nb 0.105 0.105 0.238
Nb 0.895 0.895 0.762
Al 0.202 0.202 0.824
Al 0.798 0.798 0.176
O 0.057 0.057 0.862
O 0.140 0.140 0.528
O 0.263 0.263 0.141
O 0.356 0.356 0.795
O 0.644 0.644 0.205
O 0.737 0.737 0.859
O 0.860 0.860 0.472
O 0.943 0.943 0.138

Calculated values
**DFT total energy**: -8.374 eV/atom
**M_tot**: 0.00 μB per formula unit
**SG**: C2/m (12)
**Raw formation energy**: -2766.5 meV/atom
**Calculated volume**: 12.2 Å³/atom
**Crystal system**: monoclinic


(14)
Compound: NbAlO2
Source: the Alexandria database
Functional: PBE
Structure: optimized geometry

Cell lengths 6.516, 6.516, 6.516 Å; angles 25.12, 25.12, 25.12 degrees
Element x y z (fractional)
Nb 0.000 0.000 0.000
Al 0.500 0.500 0.500
O 0.115 0.115 0.115
O 0.885 0.885 0.885

Calculated values
**DFT total energy**: -8.038 eV/atom
**M_tot**: 0.00 μB per formula unit
**SG**: R-3m (166)
**Raw formation energy**: -2106.0 meV/atom
**Calculated volume**: 11.0 Å³/atom
**Crystal system**: trigonal


(15)
Compound: NbAl2O2
Source: the Alexandria database
Functional: PBE
Structure: optimized geometry

Cell lengths 6.724, 6.724, 6.724 Å; angles 151.45, 151.45, 40.82 degrees
Element x y z (fractional)
Nb 0.000 0.000 0.000
Al 0.321 0.321 0.000
Al 0.679 0.679 0.000
O 0.250 0.750 0.500
O 0.750 0.250 0.500

Calculated values
**DFT total energy**: -6.756 eV/atom
**M_tot**: 1.00 μB per formula unit
**SG**: I4/mmm (139)
**Raw formation energy**: -1261.3 meV/atom
**Calculated volume**: 13.9 Å³/atom
**Offset from the most stable computed form**: 0.0000 eV/atom
**Crystal system**: tetragonal


(16)
Compound: Nb3Al5O12
Source: the Alexandria database
Functional: PBE
Structure: optimized geometry

Cell lengths 10.251, 10.251, 10.251 Å; angles 109.47, 109.47, 109.47 degrees
Element x y z (fractional)
Nb 0.125 0.250 0.375
Nb 0.125 0.375 0.750
Nb 0.250 0.375 0.125
Nb 0.250 0.875 0.625
Nb 0.375 0.125 0.250
Nb 0.375 0.750 0.125
Nb 0.625 0.250 0.875
Nb 0.625 0.875 0.750
Nb 0.750 0.125 0.375
Nb 0.750 0.625 0.875
Nb 0.875 0.625 0.250
Nb 0.875 0.750 0.625
Al 0.000 0.000 0.000
Al 0.000 0.000 0.500
Al 0.000 0.500 0.000
Al 0.000 0.500 0.500
Al 0.125 0.750 0.875
Al 0.125 0.875 0.250
Al 0.250 0.125 0.875
Al 0.250 0.625 0.375
Al 0.375 0.250 0.625
Al 0.375 0.625 0.750
Al 0.500 0.000 0.000
Al 0.500 0.000 0.500
Al 0.500 0.500 0.000
Al 0.500 0.500 0.500
Al 0.625 0.375 0.250
Al 0.625 0.750 0.375
Al 0.750 0.375 0.625
Al 0.750 0.875 0.125
Al 0.875 0.125 0.750
Al 0.875 0.250 0.125
O 0.028 0.207 0.120
O 0.028 0.321 0.908
O 0.087 0.707 0.679
O 0.087 0.880 0.408
O 0.092 0.620 0.413
O 0.092 0.972 0.679
O 0.120 0.028 0.207
O 0.120 0.592 0.913
O 0.179 0.207 0.587
O 0.179 0.472 0.592
O 0.207 0.120 0.028
O 0.207 0.587 0.179
O 0.293 0.321 0.913
O 0.293 0.472 0.380
O 0.321 0.908 0.028
O 0.321 0.913 0.293
O 0.380 0.293 0.472
O 0.380 0.587 0.908
O 0.408 0.087 0.880
O 0.408 0.821 0.528
O 0.413 0.092 0.620
O 0.413 0.821 0.793
O 0.472 0.380 0.293
O 0.472 0.592 0.179
O 0.528 0.408 0.821
O 0.528 0.620 0.707
O 0.587 0.179 0.207
O 0.587 0.908 0.380
O 0.592 0.179 0.472
O 0.592 0.913 0.120
O 0.620 0.413 0.092
O 0.620 0.707 0.528
O 0.679 0.087 0.707
O 0.679 0.092 0.972
O 0.707 0.528 0.620
O 0.707 0.679 0.087
O 0.793 0.413 0.821
O 0.793 0.880 0.972
O 0.821 0.528 0.408
O 0.821 0.793 0.413
O 0.880 0.408 0.087
O 0.880 0.972 0.793
O 0.908 0.028 0.321
O 0.908 0.380 0.587
O 0.913 0.120 0.592
O 0.913 0.293 0.321
O 0.972 0.679 0.092
O 0.972 0.793 0.880

Calculated values
**DFT total energy**: -7.948 eV/atom
**M_tot**: 5.99 μB per formula unit
**SG**: Ia-3d (230)
**Raw formation energy**: -2527.3 meV/atom
**Calculated volume**: 10.4 Å³/atom
**Crystal system**: cubic


(17)
Compound: NbAlO4
Source: the Alexandria database
Functional: PBE
Structure: optimized geometry

Cell lengths 6.270, 6.270, 6.727 Å; angles 105.07, 105.07, 35.40 degrees
Element x y z (fractional)
Nb 0.189 0.189 0.248
Nb 0.811 0.811 0.752
Al 0.100 0.100 0.681
Al 0.900 0.900 0.319
O 0.062 0.062 0.379
O 0.126 0.126 0.972
O 0.266 0.266 0.678
O 0.365 0.365 0.305
O 0.635 0.635 0.695
O 0.734 0.734 0.322
O 0.874 0.874 0.028
O 0.938 0.938 0.621

Calculated values
**DFT total energy**: -8.327 eV/atom
**M_tot**: 0.00 μB per formula unit
**SG**: C2/m (12)
**Raw formation energy**: -2719.3 meV/atom
**Calculated volume**: 12.3 Å³/atom
**Crystal system**: monoclinic


(18)
Compound: NbAlO4
Source: the Alexandria database
Functional: PBE
Structure: optimized geometry

Cell lengths 5.916, 5.916, 5.916 Å; angles 120.26, 120.26, 89.54 degrees
Element x y z (fractional)
Nb 0.000 0.000 0.000
Al 0.250 0.750 0.500
O 0.120 0.871 0.735
O 0.129 0.863 0.249
O 0.137 0.386 0.265
O 0.614 0.880 0.751

Calculated values
**DFT total energy**: -8.346 eV/atom
**M_tot**: 0.00 μB per formula unit
**SG**: I-4 (82)
**Raw formation energy**: -2738.1 meV/atom
**Calculated volume**: 24.3 Å³/atom
**Crystal system**: tetragonal


(19)
Compound: NbAlO2
Source: the Alexandria database
Functional: PBE
Structure: optimized geometry

Cell lengths 5.503, 5.503, 5.503 Å; angles 128.70, 128.70, 75.49 degrees
Element x y z (fractional)
Nb 0.000 0.000 0.000
Nb 0.750 0.250 0.500
Al 0.250 0.750 0.500
Al 0.500 0.500 0.000
O 0.208 0.625 0.083
O 0.375 0.458 0.583
O 0.542 0.125 0.917
O 0.875 0.792 0.417

Calculated values
**DFT total energy**: -7.527 eV/atom
**M_tot**: 0.00 μB per formula unit
**SG**: I-42d (122)
**Raw formation energy**: -1594.5 meV/atom
**Calculated volume**: 12.3 Å³/atom
**Crystal system**: tetragonal


(20)
Compound: Nb2AlO
Source: the Alexandria database
Functional: PBE
Structure: optimized geometry

Cell lengths 6.797, 6.797, 6.797 Å; angles 135.65, 135.65, 64.52 degrees
Element x y z (fractional)
Nb 0.006 0.625 0.881
Nb 0.375 0.256 0.381
Nb 0.744 0.125 0.119
Nb 0.875 0.994 0.619
Al 0.250 0.750 0.500
Al 0.500 0.500 0.000
O 0.000 0.000 0.000
O 0.750 0.250 0.500

Calculated values
**DFT total energy**: -7.460 eV/atom
**M_tot**: 0.00 μB per formula unit
**SG**: I-42d (122)
**Raw formation energy**: -250.2 meV/atom
**Calculated volume**: 18.9 Å³/atom
**Offset from the most stable computed form**: 0.0000 eV/atom
**Crystal system**: tetragonal


(21)
Compound: Nb2AlO
Source: the Alexandria database
Functional: PBE
Structure: optimized geometry

Cell lengths 4.393, 4.393, 4.393 Å; angles 60.00, 60.00, 60.00 degrees
Element x y z (fractional)
Nb 0.250 0.250 0.250
Nb 0.750 0.750 0.750
Al 0.000 0.000 0.000
O 0.500 0.500 0.500

Calculated values
**DFT total energy**: -7.132 eV/atom
**M_tot**: 0.00 μB per formula unit
**SG**: Fm-3m (225)
**Raw formation energy**: 78.2 meV/atom
**Calculated volume**: 15.0 Å³/atom
**Offset from the most stable computed form**: 0.3284 eV/atom
**Crystal system**: cubic